(1)
# YBeZn2 GGA-PBE optimized geometry
data_YBeZn2
_chemical_formula_sum 'Y2 Be2 Zn4'
_cell_length_a 7.008
_cell_length_b 4.036
_cell_length_c 5.501
_cell_angle_alpha 90.00
_cell_angle_beta 114.79
_cell_angle_gamma 90.00
_symmetry_space_group_name_H-M 'C 1 2/m 1'
_symmetry_Int_Tables_number 12
loop_
_symmetry_equiv_pos_as_xyz
'x,y,z'
'-x,-y,-z'
'-x,y,-z'
'x,-y,z'
'x+1/2,y+1/2,z'
'-x+1/2,-y+1/2,-z'
'-x+1/2,y+1/2,-z'
'x+1/2,-y+1/2,z'
loop_
_atom_site_label
_atom_site_type_symbol
_atom_site_fract_x
_atom_site_fract_y
_atom_site_fract_z
Y1 Y 0.000 0.000 0.000
Be1 Be 0.000 0.500 0.500
Zn1 Zn 0.205 0.000 0.617
# Energy relative to the elements = -162.0 meV/atom
# Total energy = -0.2460 Ry/atom
# Magnetic moment = 0.000 μB per atom

(2)
# SmPuPa GGA-PBE optimized geometry
data_SmPuPa
_chemical_formula_sum 'Sm6 Pu6 Pa6'
_cell_length_a 5.5026
_cell_length_b 5.5026
_cell_length_c 19.1066
_cell_angle_alpha 90.00
_cell_angle_beta 90.00
_cell_angle_gamma 120.00
_symmetry_space_group_name_H-M 'R -3 m'
_symmetry_Int_Tables_number 166
_symmetry_space_group_name_Hall '-R 3 2"'
loop_
_atom_site_label
_atom_site_type_symbol
_atom_site_fract_x
_atom_site_fract_y
_atom_site_fract_z
Sm1 Sm 0.0000 0.0000 0.1035
Pu1 Pu 0.0000 0.0000 0.2891
Pa1 Pa 0.0000 0.0000 0.4269
# Energy relative to the elements = 480.2 meV/atom
# Polymorph energy (0 for the lowest one) = 334 meV/atom
# Total energy = -0.6641 Ry/atom
# Magnetic moment = 2.141 μB per atom

(3)
# Pm2GaSiAu6 GGA-PBE optimized geometry
data_Pm2GaSiAu6
_chemical_formula_sum 'Pm4 Ga2 Si2 Au12'
_cell_length_a 5.747
_cell_length_b 8.764
_cell_length_c 8.785
_cell_angle_alpha 90.00
_cell_angle_beta 90.00
_cell_angle_gamma 90.00
_symmetry_space_group_name_H-M 'P m m n'
_symmetry_Int_Tables_number 59
loop_
_symmetry_equiv_pos_as_xyz
'x,y,z'
'-x,-y,-z'
'-x+1/2,-y+1/2,z'
'x+1/2,y+1/2,-z'
'x+1/2,-y,-z'
'-x+1/2,y,z'
'-x,y+1/2,-z'
'x,-y+1/2,z'
loop_
_atom_site_label
_atom_site_type_symbol
_atom_site_fract_x
_atom_site_fract_y
_atom_site_fract_z
Pm1 Pm 0.250 0.004 0.235
Ga1 Ga 0.250 0.750 0.774
Si1 Si 0.250 0.250 0.759
Au1 Au 0.000 0.250 0.488
Au2 Au 0.001 0.250 0.986
Au3 Au 0.250 0.006 0.624
# E_form (uncorrected) = -0.4725 eV/atom
# Total energy = -0.3112 Ry/atom
# Magnetic moment = 0.000 μB per atom

(4)
# NaAgBi GGA-PBE optimized geometry
data_NaAgBi
_chemical_formula_sum 'Na1 Ag1 Bi1'
_cell_length_a 5.0047
_cell_length_b 5.0047
_cell_length_c 3.6272
_cell_angle_alpha 90.00
_cell_angle_beta 90.00
_cell_angle_gamma 120.00
_symmetry_space_group_name_H-M 'P 3 m 1'
_symmetry_Int_Tables_number 156
loop_
_symmetry_equiv_pos_as_xyz
'x,y,z'
'-y,x-y,z'
'-x+y,-x,z'
'-y,-x,z'
'-x+y,y,z'
'x,x-y,z'
loop_
_atom_site_label
_atom_site_type_symbol
_atom_site_fract_x
_atom_site_fract_y
_atom_site_fract_z
Na1 Na 0.0000 0.0000 0.0000
Ag1 Ag 0.6667 0.3333 0.4973
Bi1 Bi 0.3333 0.6667 0.5006
# Energy relative to the elements = -176.7 meV/atom
# Polymorph energy (0 for the lowest one) = 0 meV/atom
# Total energy = -0.2102 Ry/atom
# Magnetic moment = 0.000 μB per atom

What did the third record say?
# Pm2GaSiAu6 GGA-PBE optimized geometry
data_Pm2GaSiAu6
_chemical_formula_sum 'Pm4 Ga2 Si2 Au12'
_cell_length_a 5.747
_cell_length_b 8.764
_cell_length_c 8.785
_cell_angle_alpha 90.00
_cell_angle_beta 90.00
_cell_angle_gamma 90.00
_symmetry_space_group_name_H-M 'P m m n'
_symmetry_Int_Tables_number 59
loop_
_symmetry_equiv_pos_as_xyz
'x,y,z'
'-x,-y,-z'
'-x+1/2,-y+1/2,z'
'x+1/2,y+1/2,-z'
'x+1/2,-y,-z'
'-x+1/2,y,z'
'-x,y+1/2,-z'
'x,-y+1/2,z'
loop_
_atom_site_label
_atom_site_type_symbol
_atom_site_fract_x
_atom_site_fract_y
_atom_site_fract_z
Pm1 Pm 0.250 0.004 0.235
Ga1 Ga 0.250 0.750 0.774
Si1 Si 0.250 0.250 0.759
Au1 Au 0.000 0.250 0.488
Au2 Au 0.001 0.250 0.986
Au3 Au 0.250 0.006 0.624
# E_form (uncorrected) = -0.4725 eV/atom
# Total energy = -0.3112 Ry/atom
# Magnetic moment = 0.000 μB per atom

Q: Among the records above, which one has the highest magnetic moment?
A: SmPuPa

Q: Look up the magnetic moment of the first one.
A: 0.000 μB per atom

Q: Number 3 is which compound?
A: Pm2GaSiAu6